Compound: TaHgOs
Source: OQMD
Functional: GGA-PBE
Structure: relaxed

Unit cell a=4.444 b=4.444 c=4.444 alpha=60.00 beta=60.00 gamma=60.00
Element x y z (fractional)
Ta (0.000, 0.000, 0.000)
Os (0.750, 0.750, 0.750)
Hg (0.250, 0.250, 0.250)

Summary:
Calculated formation energy in eV/atom: 0.79
Energy relative to the lowest polymorph listed for this composition in meV per atom: 170

***

Compound: SmHoS2Br2
Source: OQMD
Functional: GGA-PBE
Structure: relaxed

Unit cell a=4.130 b=5.387 c=9.231 alpha=90.00 beta=90.00 gamma=90.00
Element x y z (fractional)
S (0.500, 0.000, 0.065)
Br (0.000, 0.500, 0.349)
Br (0.500, 0.000, 0.661)
Sm (0.500, 0.500, 0.131)
Ho (0.000, 0.000, 0.871)
S (0.000, 0.500, 0.924)

Summary:
Electronic total energy in eV/atom: -5.48

***

Compound: Ho
Source: OQMD
Functional: GGA-PBE
Structure: relaxed

Unit cell a=3.541 b=3.592 c=5.591 alpha=90.00 beta=90.00 gamma=60.46
Element x y z (fractional)
Ho (0.161, 0.677, 0.750)
Ho (0.839, 0.323, 0.250)

Summary:
Calculated formation energy in eV/atom: 0.01
Energy relative to the lowest polymorph listed for this composition in meV per atom: 6

***

Compound: PrNdCo2Ge2
Source: OQMD
Functional: GGA-PBE
Structure: relaxed

Unit cell a=4.169 b=4.169 c=6.892 alpha=90.00 beta=90.00 gamma=90.00
Last column: magnetic moment on the atom in μB.
Element x y z (fractional)
Ge (0.000, 0.000, 0.818)  0.01
Nd (0.000, 0.000, 0.310)  0.03
Pr (0.500, 0.500, 0.686)  0.03
Ge (0.500, 0.500, 0.184)  0.01
Co (0.500, 0.000, 0.001)  -0.48
Co (0.000, 0.500, 0.001)  -0.48

Summary:
Electronic total energy in eV/atom: -6.10

***

Compound: GdMgPO
Source: OQMD
Functional: GGA-PBE
Structure: relaxed

Unit cell a=4.336 b=6.158 c=5.790 alpha=90.00 beta=90.00 gamma=90.00
Element x y z (fractional)
Gd (0.000, 0.775, 0.923)
P (0.000, 0.771, 0.414)
O (0.500, 0.668, 0.880)
Gd (0.000, 0.225, 0.423)
P (0.000, 0.229, 0.914)
Mg (0.500, 0.379, 0.036)
Mg (0.500, 0.621, 0.536)
O (0.500, 0.332, 0.380)

Summary:
Electronic total energy in eV/atom: -6.11

***

Compound: PaInSi
Source: OQMD
Functional: GGA-PBE
Structure: relaxed

Unit cell a=4.694 b=4.694 c=4.694 alpha=60.00 beta=60.00 gamma=60.00
Element x y z (fractional)
Si (0.000, 0.000, 0.000)
In (0.250, 0.250, 0.250)
Pa (0.750, 0.750, 0.750)

Summary:
Energy relative to the lowest polymorph listed for this composition in meV per atom: 0

***

Number 1: magnetization 0.00 μB/f.u.. Number 2: magnetization 0.00 μB/f.u.. Number 3: magnetization 0.05 μB/f.u.. Number 4: magnetization 0.74 μB/f.u.. Number 5: magnetization 0.00 μB/f.u.. Number 6: magnetization 1.10 μB/f.u..